[1]
Material: AcAg2BSe4
Method: DFT, GGA-PBE
State: relaxed

Cell: 7.0027 6.2588 6.2588 Å, 76.53 55.98 55.98°
With the nearest neighbours (Å) after each atom.
Element x y z (fractional)
Se (0.5061, 0.1718, 0.4691)  1 B 2.08
Se (0.1470, 0.8282, 0.5309)  1 B 2.08
Se (0.8530, 0.4691, 0.1718)  1 B 2.08
Se (0.4939, 0.5309, 0.8282)  1 B 2.08
B (0.5000, 0.5000, 0.5000)  4 Se 2.08
Ag (0.0000, 0.2956, 0.7044)  4 Se 2.64-2.77
Ag (0.0000, 0.7044, 0.2956)  4 Se 2.64-2.77
Ac (0.5000, 0.0000, 0.0000)  8 Se 3.23-3.38

Properties
space-group type = I222
V = 187.18 Å³ per cell
E_form (uncorrected) = -0.707 eV/atom
ρ = 6.826 Mg/m³

=====

[2]
Material: ScV2BN
Method: DFT, GGA-PBE
State: relaxed

Cell: 4.7450 2.8741 4.7450 Å, 90.00 90.00 90.00°
With the nearest neighbours (Å) after each atom.
Element x y z (fractional)
B (0.0000, 0.0000, 0.0000)  2 N 1.44
Sc (0.5000, 0.5000, 0.5000)  8 V 2.77, 2 Sc 2.87
V (0.0000, 0.0000, 0.5000)  2 B 2.37
V (0.5000, 0.0000, 0.0000)  2 B 2.37
N (0.0000, 0.5000, 0.0000)  2 B 1.44

Properties
space-group type = P4/mmm
V = 64.71 Å³ per cell
E_form (uncorrected) = 0.740 eV/atom
ρ = 4.405 Mg/m³

=====

[3]
Material: Pr8Sb3Te4P
Method: DFT, GGA-PBE
State: relaxed

Cell: 8.9892 9.0569 8.9891 Å, 119.75 120.00 90.00°
With the nearest neighbours (Å) after each atom.
Element x y z (fractional)
Pr (0.7596, 0.7292, 0.9944)  1 P 3.00, 2 Sb 3.16, 2 Te 3.23
Pr (0.7652, 0.2708, 0.0056)  1 P 3.00, 2 Sb 3.16, 2 Te 3.23
Pr (0.2531, 0.2595, 0.5063)  3 Sb 3.15, 3 Te 3.23
Pr (0.2348, 0.7292, 0.9944)  1 P 3.00, 2 Sb 3.16, 2 Te 3.23
Pr (0.2404, 0.2708, 0.0056)  1 P 3.00, 2 Sb 3.16, 2 Te 3.23
Pr (0.7469, 0.7405, 0.4937)  3 Sb 3.15, 3 Te 3.23
Pr (0.7651, 0.2707, 0.5301)  1 P 3.00, 2 Sb 3.16, 2 Te 3.23
Pr (0.2349, 0.7293, 0.4699)  1 P 3.00, 2 Sb 3.16, 2 Te 3.23
Sb (0.5000, 0.5000, 0.0000)  6 Pr 3.15-3.16
Sb (0.5000, 0.5000, 0.5000)  6 Pr 3.15-3.16
Sb (0.0000, 0.5000, 0.5000)  6 Pr 3.15-3.16
Te (0.5000, 0.0000, 0.5000)  6 Pr 3.23
Te (0.0000, 0.0000, 0.5000)  6 Pr 3.23
Te (0.5000, 0.0000, 0.0000)  6 Pr 3.38
Te (0.0000, 0.0000, 0.0000)  6 Pr 3.23
P (0.0000, 0.5000, 0.0000)  6 Pr 3.00

Properties
space-group type = R-3m
V = 519.40 Å³ per cell
E_form (uncorrected) = -1.397 eV/atom
ρ = 6.502 Mg/m³

=====

[4]
Material: Li2Ge2Te
Method: DFT, GGA-PBE
State: relaxed

Cell: 7.6725 7.6725 3.4259 Å, 90.00 90.00 90.00°
With the nearest neighbours (Å) after each atom.
Element x y z (fractional)
Ge (0.8814, 0.6186, 0.0000)  1 Ge 2.57, 2 Li 2.77
Ge (0.3814, 0.8814, 0.0000)  1 Ge 2.57, 2 Li 2.77
Ge (0.1186, 0.3814, 0.0000)  1 Ge 2.57, 2 Li 2.77
Ge (0.6186, 0.1186, 0.0000)  1 Ge 2.57, 2 Li 2.77
Li (0.1812, 0.6812, 0.5000)  6 Ge 2.77-2.91
Li (0.8188, 0.3188, 0.5000)  6 Ge 2.77-2.91
Li (0.6812, 0.8188, 0.5000)  6 Ge 2.77-2.91
Li (0.3188, 0.1812, 0.5000)  6 Ge 2.77-2.91
Te (0.5000, 0.5000, 0.0000)  4 Ge 3.06, 8 Li 3.29, 2 Te 3.43
Te (0.0000, 0.0000, 0.0000)  4 Ge 3.06, 8 Li 3.29, 2 Te 3.43

Properties
space-group type = P4/mbm
V = 201.67 Å³ per cell
E_form (uncorrected) = -0.138 eV/atom
ρ = 4.722 Mg/m³

=====

- What is the E_form (uncorrected) in the first record?
  -0.707 eV/atom